An optimized crystal structure of CsRbNiO2, computed with GGA+U.

The structure belongs to space group Pmma (No. 51); the cell edges are 5.9196, 6.9935 and 5.4973 Å and the angles 90.00°, 90.00° and 90.00°. The asymmetric unit holds Cs at (0.2500, 0.0000, 0.2259), Rb at (0.2500, 0.5000, 0.5034), Ni at (0.0000, 0.5000, 0.0000) and O at (0.2500, 0.3213, 0.9512).

For the magnetization, the calculation gives 0.003 μB/atom. Its crystal system is orthorhombic. The total energy comes out at -0.2690 Ry per atom.